# 1
Density functional theory data (PBE) for crystalline BeTe4 at its relaxed geometry.

Structure (POSCAR):
```
BeTe4
1.0
5.029 0.000 0.000
0.000 5.029 0.000
0.000 0.000 5.029
Be Te
1 4
Direct
0.000 0.000 0.000 Be
0.000 0.000 0.500 Te
0.000 0.500 0.000 Te
0.500 0.000 0.000 Te
0.500 0.500 0.500 Te
```

## Properties
Density (g/cm3): 6.781
Space-group type: Pm-3m, No. 221
Total DFT energy (no corrections) (eV per atom): -2.94
Spin magnetization (μB per formula unit): 0.0
E_form (uncorrected) (eV per formula unit): 1.6
Crystal system: cubic
Offset from the most stable computed form (eV/atom): 0.2074

***

# 2
Density functional theory data (PBE) for crystalline Be4Te at its relaxed geometry.

Structure (POSCAR):
```
Be4Te
1.0
-1.734 1.734 5.141
1.734 -1.734 5.141
1.734 1.734 -5.141
Be Te
4 1
Direct
0.109 0.109 0.000 Be
0.250 0.750 0.500 Be
0.750 0.250 0.500 Be
0.891 0.891 0.000 Be
0.500 0.500 0.000 Te
```

## Properties
Density (g/cm3): 4.397
Space-group type: I4/mmm, No. 139
Total DFT energy (no corrections) (eV per atom): -3.10
Spin magnetization (μB per formula unit): 0.0
E_form (uncorrected) (eV per formula unit): 2.6
Crystal system: tetragonal
Offset from the most stable computed form (eV/atom): 0.0000